ReTe3As: relaxed, PBE.

The structure in POSCAR format:
```
ReTe3As
1.0
5.200 0.000 0.000
0.000 5.200 0.000
0.000 0.000 5.200
Re Te As
1 3 1
Cartesian
0.000 0.000 0.000
0.000 0.000 2.600
0.000 2.600 0.000
2.600 0.000 0.000
2.600 2.600 2.600
```

**Energy above the lowest structure with this stoichiometry**: 0.0000 eV per atom

=====

PmTmSiPt: relaxed, PBE.

The structure in POSCAR format:
```
PmTmSiPt
1.0
7.093 0.000 0.000
0.000 7.093 0.000
0.000 0.000 7.093
Pm Tm Si Pt
4 4 4 4
Cartesian
0.000 0.000 0.000
0.000 3.547 3.547
3.547 0.000 3.547
3.547 3.547 0.000
0.000 0.000 3.547
0.000 3.547 0.000
3.547 0.000 0.000
3.547 3.547 3.547
1.773 1.773 1.773
1.773 5.320 5.320
5.320 1.773 5.320
5.320 5.320 1.773
1.773 1.773 5.320
1.773 5.320 1.773
5.320 1.773 1.773
5.320 5.320 5.320
```

**Energy above the lowest structure with this stoichiometry**: 0.1984 eV per atom